# 1
DFT (PBE) results for a relaxed VMo4W8 crystal.

Calculated values
DOS at the Fermi energy = 6.52 states/eV per cell

Cell lengths 4.493, 4.484, 12.119 Å; angles 79.22, 79.32, 59.93 degrees
Fractional positions:
1 W 0.208 0.693 0.892
2 W 0.977 0.463 0.583
3 Mo 0.900 0.385 0.815
4 W 0.054 0.541 0.351
5 W 0.747 0.233 0.274
6 Mo 0.132 0.618 0.118
7 W 0.440 0.926 0.195
8 W 0.285 0.770 0.660
9 Mo 0.669 0.155 0.506
10 V 0.516 0.002 0.967
11 W 0.592 0.078 0.739
12 W 0.824 0.310 0.042
13 Mo 0.362 0.848 0.428



# 2
DFT (PBE) results for a relaxed Ti2MnBe2Fe5 crystal.

Calculated values
DOS at the Fermi energy = 21.55 states/eV per cell

Cell lengths 3.173, 8.447, 8.447 Å; angles 90.00, 90.00, 90.00 degrees
Last column: magnetic moment on the atom in μB.
Fractional positions:
1 Mn 0.000 0.500 0.500  1.68
2 Fe 0.500 0.934 0.207  1.61
3 Fe 0.500 0.793 0.934  1.61
4 Ti 0.000 0.173 0.327  -0.58
5 Fe 0.500 0.000 0.500  0.97
6 Fe 0.500 0.066 0.793  1.61
7 Be 0.000 0.877 0.377  -0.07
8 Fe 0.500 0.434 0.293  1.61
9 Fe 0.500 0.500 0.000  0.97
10 Be 0.000 0.623 0.877  -0.07
11 Mn 0.000 0.000 0.000  1.68
12 Fe 0.500 0.707 0.434  1.61
13 Ti 0.000 0.673 0.173  -0.58
14 Fe 0.500 0.566 0.707  1.61
15 Fe 0.500 0.293 0.566  1.61
16 Be 0.000 0.123 0.623  -0.07
17 Ti 0.000 0.827 0.673  -0.58
18 Fe 0.500 0.207 0.066  1.61
19 Ti 0.000 0.327 0.827  -0.58
20 Be 0.000 0.377 0.123  -0.07



# 3
DFT (PBE) results for a relaxed LiScW3 crystal.

Calculated values
DOS at the Fermi energy = 5.45 states/eV per cell

Cell lengths 4.668, 4.668, 4.668 Å; angles 90.00, 90.00, 90.00 degrees
Fractional positions:
1 Li 0.500 0.500 0.500
2 W 0.000 0.500 0.000
3 Sc 0.000 0.000 0.000
4 W 0.000 0.000 0.500
5 W 0.500 0.000 0.000



In kJ per mole of atoms, the formation energy values for the records above are, in order, -3 -13 233.